# 1
VASP calculation (PBE) on a geometry-optimized TbSm2Er6Sc3 structure.

a = 6.0316 Å, b = 6.0316 Å, c = 11.4465 Å
α = 95.04°, β = 95.04°, γ = 119.98°
Fractional coordinates of all 12 atoms:
Tb 0.0000 0.0000 0.0000
Sm 0.3333 0.6667 0.0000
Sm 0.6667 0.3333 0.0000
Er 0.0870 0.4202 0.2605
Er 0.2461 0.2461 0.7396
Er 0.4202 0.0870 0.2605
Er 0.5798 0.9130 0.7395
Er 0.7539 0.7539 0.2604
Er 0.9130 0.5798 0.7395
Sc 0.1664 0.8336 0.5000
Sc 0.5000 0.5000 0.5000
Sc 0.8336 0.1664 0.5000

## Properties
- Calculated volume: 355.1 Å³/cell
- ΔE_f: 44 meV per atom
- Energy: -59.9 eV/cell

=====

# 2
VASP calculation (PBE) on a geometry-optimized Tb2SmErSc2 structure.

a = 6.2944 Å, b = 17.4027 Å, c = 3.3346 Å
α = 90.00°, β = 90.00°, γ = 90.00°
Fractional coordinates of all 12 atoms:
Tb 0.2252 0.1906 0.0000
Tb 0.2748 0.6906 0.5000
Tb 0.7252 0.3094 0.5000
Tb 0.7748 0.8094 0.0000
Sm 0.0000 0.5000 0.0000
Sm 0.5000 0.0000 0.5000
Er 0.0000 0.0000 0.0000
Er 0.5000 0.5000 0.5000
Sc 0.2244 0.3542 0.5000
Sc 0.2756 0.8542 0.0000
Sc 0.7244 0.1458 0.0000
Sc 0.7756 0.6458 0.5000

## Properties
- Calculated volume: 365.3 Å³/cell
- ΔE_f: 280 meV per atom
- Energy: -59.1 eV/cell

=====

# 3
VASP calculation (PBE) on a geometry-optimized Tb4SmEr2Sc structure.

a = 6.0878 Å, b = 3.5284 Å, c = 11.6523 Å
α = 90.00°, β = 100.06°, γ = 90.00°
Fractional coordinates of all 8 atoms:
Tb 0.2454 0.0000 0.2434
Tb 0.2514 0.5000 0.7542
Tb 0.7486 0.5000 0.2458
Tb 0.7546 0.0000 0.7566
Sm 0.0000 0.0000 0.5000
Er 0.5000 0.0000 0.0000
Er 0.5000 0.5000 0.5000
Sc 0.0000 0.5000 0.0000

## Properties
- Calculated volume: 246.4 Å³/cell
- ΔE_f: 33 meV per atom
- Energy: -38.4 eV/cell

=====

# 4
VASP calculation (PBE) on a geometry-optimized Tb2Sm6Er3Sc structure.

a = 6.1723 Å, b = 6.1723 Å, c = 11.7081 Å
α = 95.03°, β = 95.03°, γ = 119.99°
Fractional coordinates of all 12 atoms:
Tb 0.1666 0.8334 0.0000
Tb 0.8334 0.1666 0.0000
Sm 0.0868 0.4173 0.7512
Sm 0.2520 0.2520 0.2492
Sm 0.4173 0.0868 0.7512
Sm 0.5827 0.9132 0.2488
Sm 0.7480 0.7480 0.7508
Sm 0.9132 0.5827 0.2488
Er 0.0000 0.0000 0.5000
Er 0.3335 0.6665 0.5000
Er 0.6665 0.3335 0.5000
Sc 0.5000 0.5000 0.0000

## Properties
- Calculated volume: 380.4 Å³/cell
- ΔE_f: 25 meV per atom
- Energy: -57.3 eV/cell

=====

# 5
VASP calculation (PBE) on a geometry-optimized TbSmErSc structure.

a = 5.5520 Å, b = 5.5520 Å, c = 5.5520 Å
α = 60.00°, β = 60.00°, γ = 60.00°
Fractional coordinates of all 4 atoms:
Tb 0.0000 0.0000 0.0000
Sm 0.5000 0.5000 0.5000
Er 0.2500 0.2500 0.2500
Sc 0.7500 0.7500 0.7500

## Properties
- E above lowest polymorph: 13 meV/atom
- Calculated volume: 121.0 Å³/cell
- ΔE_f: 111 meV per atom
- Energy: -19.8 eV/cell

=====

# 6
VASP calculation (PBE) on a geometry-optimized Tb6Sm3Er2Sc structure.

a = 6.1422 Å, b = 6.1422 Å, c = 11.7330 Å
α = 94.98°, β = 94.98°, γ = 119.95°
Fractional coordinates of all 12 atoms:
Tb 0.0813 0.4123 0.2443
Tb 0.2496 0.2496 0.7555
Tb 0.4123 0.0813 0.2443
Tb 0.5877 0.9187 0.7557
Tb 0.7504 0.7504 0.2445
Tb 0.9187 0.5877 0.7557
Sm 0.1665 0.8335 0.5000
Sm 0.5000 0.5000 0.5000
Sm 0.8335 0.1665 0.5000
Er 0.3334 0.6666 0.0000
Er 0.6666 0.3334 0.0000
Sc 0.0000 0.0000 0.0000

## Properties
- Calculated volume: 377.7 Å³/cell
- ΔE_f: 27 meV per atom
- Energy: -57.1 eV/cell

=====

# 7
VASP calculation (PBE) on a geometry-optimized Tb3Sm2Er6Sc structure.

a = 6.0914 Å, b = 6.0914 Å, c = 11.6669 Å
α = 94.98°, β = 94.98°, γ = 119.97°
Fractional coordinates of all 12 atoms:
Tb 0.0000 0.0000 0.0000
Tb 0.3336 0.6664 0.0000
Tb 0.6664 0.3336 0.0000
Sm 0.1665 0.8335 0.5000
Sm 0.8335 0.1665 0.5000
Er 0.0865 0.4171 0.2511
Er 0.2523 0.2523 0.7492
Er 0.4171 0.0865 0.2511
Er 0.5829 0.9135 0.7489
Er 0.7477 0.7477 0.2508
Er 0.9135 0.5829 0.7489
Sc 0.5000 0.5000 0.5000

## Properties
- Calculated volume: 369.4 Å³/cell
- ΔE_f: 26 meV per atom
- Energy: -56.7 eV/cell

=====

# 8
VASP calculation (PBE) on a geometry-optimized Tb2SmEr6Sc3 structure.

a = 6.0194 Å, b = 6.0194 Å, c = 11.4342 Å
α = 95.03°, β = 95.03°, γ = 119.96°
Fractional coordinates of all 12 atoms:
Tb 0.1666 0.8334 0.0000
Tb 0.8334 0.1666 0.0000
Sm 0.5000 0.5000 0.0000
Er 0.0794 0.4129 0.7401
Er 0.2535 0.2535 0.2599
Er 0.4129 0.0794 0.7401
Er 0.5871 0.9206 0.2599
Er 0.7465 0.7465 0.7401
Er 0.9206 0.5871 0.2599
Sc 0.0000 0.0000 0.5000
Sc 0.3332 0.6668 0.5000
Sc 0.6668 0.3332 0.5000

## Properties
- Calculated volume: 353.4 Å³/cell
- ΔE_f: 44 meV per atom
- Energy: -59.8 eV/cell